Record 1
A plane-wave DFT calculation with PBE was carried out for crystalline BaLiCa2Au4 at its relaxed geometry.

Results
As for the space-group type: R-3m, No. 166. The calculation puts the total energy at -3.290 eV/atom. Its formation energy is -0.6715 eV/atom. For the total magnetic moment, the calculation gives 0.000 μB per formula unit.

Cell: 9.919 9.919 9.919 Å, 29.48 29.48 29.48°
Fractional positions:
Ba 0.000 0.000 0.000
Li 0.500 0.500 0.500
Ca 0.230 0.230 0.230
Ca 0.770 0.770 0.770
Au 0.125 0.125 0.125
Au 0.403 0.403 0.403
Au 0.597 0.597 0.597
Au 0.875 0.875 0.875

Record 2
A plane-wave DFT calculation with PBE was carried out for crystalline YLuCuOs at its relaxed geometry.

Results
As for the space-group type: F-43m, No. 216. The calculation puts the total energy at -6.867 eV/atom. Its formation energy is -0.2888 eV/atom. For the total magnetic moment, the calculation gives 0.000 μB per formula unit.

Cell: 4.810 4.810 4.810 Å, 60.00 60.00 60.00°
Fractional positions:
Y 0.000 0.000 0.000
Lu 0.500 0.500 0.500
Cu 0.250 0.250 0.250
Os 0.750 0.750 0.750

Record 3
A plane-wave DFT calculation with PBE was carried out for crystalline LiZnAs2 at its relaxed geometry.

Results
As for the space-group type: Cm, No. 8. The calculation puts the total energy at -3.317 eV/atom. Its formation energy is -0.1954 eV/atom. For the total magnetic moment, the calculation gives 0.000 μB per formula unit.

Cell: 5.846 5.846 4.257 Å, 109.90 109.90 32.93°
Fractional positions:
Li 0.000 0.000 0.000
Zn 0.721 0.721 0.387
As 0.313 0.313 0.073
As 0.529 0.529 0.546

Record 4
A plane-wave DFT calculation with PBE was carried out for crystalline Tm4Bi3P at its relaxed geometry.

Results
As for the space-group type: Cmmm, No. 65. The calculation puts the total energy at -5.291 eV/atom. Its formation energy is -0.9232 eV/atom. For the total magnetic moment, the calculation gives 0.000 μB per formula unit.

Cell: 7.493 7.493 4.272 Å, 90.00 90.00 109.00°
Fractional positions:
Tm 0.227 0.227 0.500
Tm 0.237 0.763 0.000
Tm 0.763 0.237 0.000
Tm 0.773 0.773 0.500
Bi 0.000 0.500 0.500
Bi 0.500 0.000 0.500
Bi 0.500 0.500 0.000
P 0.000 0.000 0.000

Record 5
A plane-wave DFT calculation with PBE was carried out for crystalline ScCoPtRh at its relaxed geometry.

Results
As for the space-group type: F-43m, No. 216. The calculation puts the total energy at -7.184 eV/atom. Its formation energy is -0.4770 eV/atom. For the total magnetic moment, the calculation gives 2.470 μB per formula unit.

Cell: 4.420 4.420 4.420 Å, 60.00 60.00 60.00°
Fractional positions:
Sc 0.000 0.000 0.000
Co 0.500 0.500 0.500
Pt 0.750 0.750 0.750
Rh 0.250 0.250 0.250

Record 6
A plane-wave DFT calculation with PBE was carried out for crystalline Pm3Pr2Ho7 at its relaxed geometry.

Results
As for the space-group type: P2/m, No. 10. The calculation puts the total energy at -4.567 eV/atom. Its formation energy is 0.0874 eV/atom. For the total magnetic moment, the calculation gives 0.000 μB per formula unit.

Cell: 5.842 3.591 18.925 Å, 90.00 93.21 90.00°
Fractional positions:
Pm 0.000 0.000 0.000
Pm 0.278 0.500 0.631
Pm 0.722 0.500 0.369
Pr 0.208 0.000 0.292
Pr 0.792 0.000 0.708
Ho 0.188 0.500 0.141
Ho 0.242 0.000 0.462
Ho 0.311 0.000 0.829
Ho 0.500 0.500 0.000
Ho 0.689 0.000 0.171
Ho 0.758 0.000 0.538
Ho 0.812 0.500 0.859

Record 7
A plane-wave DFT calculation with PBE was carried out for crystalline Rb2UTe2Se6 at its relaxed geometry.

Results
The calculation puts the formation energy without anion corrections at -0.661 eV per atom. As for the space-group type: C2/m, No. 12. The calculation puts the total energy at -4.335 eV/atom. For the total magnetic moment, the calculation gives 0.054 μB per formula unit.

Cell: 8.464 8.464 8.960 Å, 119.81 119.81 51.78°
Fractional positions:
Rb 0.216 0.216 0.211
Rb 0.784 0.784 0.789
U 0.000 0.000 0.500
Te 0.445 0.445 0.706
Te 0.555 0.555 0.294
Se 0.166 0.675 0.213
Se 0.191 0.191 0.582
Se 0.325 0.834 0.787
Se 0.675 0.166 0.213
Se 0.809 0.809 0.418
Se 0.834 0.325 0.787

Record 8
A plane-wave DFT calculation with PBE was carried out for crystalline ScMo2Cl at its relaxed geometry.

Results
The calculation puts the formation energy without anion corrections at 0.163 eV per atom. As for the space-group type: Cm, No. 8. The calculation puts the total energy at -7.297 eV/atom. The distance to the lowest polymorph of the same formula comes out at 392 meV per atom. For the total magnetic moment, the calculation gives 0.000 μB per formula unit.

Cell: 4.847 4.847 5.457 Å, 108.79 108.79 38.26°
Fractional positions:
Sc 0.000 0.000 0.000
Mo 0.144 0.144 0.618
Mo 0.431 0.431 0.475
Cl 0.743 0.743 0.070

Record 9
A plane-wave DFT calculation with PBE was carried out for crystalline NdHo3Ru at its relaxed geometry.

Results
As for the space-group type: Pmn2_1, No. 31. The calculation puts the total energy at -5.698 eV/atom. The distance to the lowest polymorph of the same formula comes out at 41 meV per atom. Its formation energy is -0.1427 eV/atom. For the total magnetic moment, the calculation gives 0.000 μB per formula unit.

Cell: 7.630 6.410 6.228 Å, 90.00 90.00 90.00°
Fractional positions:
Nd 0.000 0.150 0.000
Nd 0.500 0.850 0.500
Ho 0.000 0.840 0.488
Ho 0.249 0.325 0.494
Ho 0.251 0.675 0.994
Ho 0.500 0.160 0.988
Ho 0.749 0.675 0.994
Ho 0.751 0.325 0.494
Ru 0.000 0.504 0.742
Ru 0.500 0.496 0.242

Record 10
A plane-wave DFT calculation with PBE was carried out for crystalline MgPRu at its relaxed geometry.

Results
As for the space-group type: I4mm, No. 107. The calculation puts the total energy at -5.897 eV/atom. Its formation energy is -0.4701 eV/atom. For the total magnetic moment, the calculation gives 0.000 μB per formula unit.

Cell: 5.367 5.367 5.367 Å, 146.99 146.99 47.38°
Fractional positions:
Mg 0.000 0.000 0.000
P 0.304 0.304 0.000
Ru 0.699 0.699 0.000

Record 11
A plane-wave DFT calculation with PBE was carried out for crystalline SrAsRhF at its relaxed geometry.

Results
The calculation puts the formation energy without anion corrections at -1.990 eV per atom. As for the space-group type: P4/nmm, No. 129. The calculation puts the total energy at -5.879 eV/atom. For the total magnetic moment, the calculation gives 0.216 μB per formula unit.

Cell: 4.174 4.174 8.668 Å, 90.00 90.00 90.00°
Fractional positions:
Sr 0.250 0.250 0.161
Sr 0.750 0.750 0.839
As 0.250 0.250 0.654
As 0.750 0.750 0.346
Rh 0.250 0.750 0.500
Rh 0.750 0.250 0.500
F 0.250 0.750 0.000
F 0.750 0.250 0.000

Record 12
A plane-wave DFT calculation with PBE was carried out for crystalline Ta2NiW at its relaxed geometry.

Results
As for the space-group type: R-3m, No. 166. The calculation puts the total energy at -10.385 eV/atom. Its formation energy is 0.2249 eV/atom. For the total magnetic moment, the calculation gives 0.000 μB per formula unit.

Cell: 9.445 9.445 9.445 Å, 17.30 17.30 17.30°
Fractional positions:
Ta 0.243 0.243 0.243
Ta 0.757 0.757 0.757
Ni 0.500 0.500 0.500
W 0.000 0.000 0.000

Record 13
A plane-wave DFT calculation with PBE was carried out for crystalline CuPtSe2 at its relaxed geometry.

Results
The calculation puts the formation energy without anion corrections at 0.265 eV per atom. As for the space-group type: Pmmm, No. 47. The calculation puts the total energy at -4.012 eV/atom. For the total magnetic moment, the calculation gives 0.000 μB per formula unit.

Cell: 3.483 3.540 7.445 Å, 90.00 90.00 90.00°
Fractional positions:
Cu 0.000 0.000 0.000
Pt 0.500 0.000 0.500
Se 0.000 0.500 0.500
Se 0.500 0.500 0.000

Record 14
A plane-wave DFT calculation with PBE was carried out for crystalline CaIr2Pt at its relaxed geometry.

Results
As for the space-group type: P4mm, No. 99. The calculation puts the total energy at -6.545 eV/atom. The distance to the lowest polymorph of the same formula comes out at 24 meV per atom. Its formation energy is -0.1040 eV/atom. For the total magnetic moment, the calculation gives 0.000 μB per formula unit.

Cell: 2.857 2.857 8.311 Å, 90.00 90.00 90.00°
Fractional positions:
Ca 0.000 0.000 0.000
Ir 0.000 0.000 0.491
Ir 0.500 0.500 0.282
Pt 0.500 0.500 0.726

Record 15
A plane-wave DFT calculation with PBE was carried out for crystalline Ac3Cd2Rh at its relaxed geometry.

Results
As for the space-group type: C2/m, No. 12. The calculation puts the total energy at -3.930 eV/atom. The distance to the lowest polymorph of the same formula comes out at 59 meV per atom. Its formation energy is -0.3460 eV/atom. For the total magnetic moment, the calculation gives 0.000 μB per formula unit.

Cell: 8.820 8.820 4.172 Å, 103.59 103.59 41.93°
Fractional positions:
Ac 0.000 0.000 0.000
Ac 0.371 0.371 0.373
Ac 0.629 0.629 0.627
Cd 0.195 0.195 0.697
Cd 0.805 0.805 0.303
Rh 0.500 0.500 0.000

Record 16
A plane-wave DFT calculation with PBE was carried out for crystalline PbAu2N at its relaxed geometry.

Results
The calculation puts the formation energy without anion corrections at 1.143 eV per atom. As for the space-group type: Fm-3m, No. 225. The calculation puts the total energy at -3.504 eV/atom. The distance to the lowest polymorph of the same formula comes out at 548 meV per atom. For the total magnetic moment, the calculation gives 0.000 μB per formula unit.

Cell: 4.700 4.700 4.700 Å, 60.00 60.00 60.00°
Fractional positions:
Pb 0.000 0.000 0.000
Au 0.250 0.250 0.250
Au 0.750 0.750 0.750
N 0.500 0.500 0.500

Record 17
A plane-wave DFT calculation with PBE was carried out for crystalline Pr8Al2Tl at its relaxed geometry.

Results
As for the space-group type: C2/m, No. 12. The calculation puts the total energy at -4.548 eV/atom. Its formation energy is -0.1763 eV/atom. For the total magnetic moment, the calculation gives 0.000 μB per formula unit.

Cell: 9.281 9.281 8.112 Å, 108.96 108.96 31.65°
Fractional positions:
Pr 0.044 0.044 0.241
Pr 0.172 0.172 0.754
Pr 0.326 0.326 0.566
Pr 0.398 0.398 0.045
Pr 0.602 0.602 0.955
Pr 0.674 0.674 0.434
Pr 0.828 0.828 0.246
Pr 0.956 0.956 0.759
Al 0.211 0.211 0.173
Al 0.789 0.789 0.827
Tl 0.500 0.500 0.500